(1)
Here is a geometry-optimized ZrMoP2 structure from the Alexandria database. Energies are from PBE.

- final energy (eV per atom) = -7.550
- V (Å³/atom) = 15.9
- D(E_F) (states/eV/f.u.) = 0.50
- ΔH_f (0 K) (eV/atom) = 0.000
- SG = F-43m

Cell lengths 4.482, 4.482, 4.482 Å; angles 60.00, 60.00, 60.00 degrees
Atoms (fractional coordinates):
1 Zr 0.000 0.000 0.000
2 Mo 0.250 0.250 0.250
3 P 0.500 0.500 0.500
4 P 0.750 0.750 0.750

(2)
Here is a geometry-optimized NbNi2BRu structure from the Alexandria database. Energies are from PBE.

- final energy (eV per atom) = -6.443
- V (Å³/atom) = 15.2
- D(E_F) (states/eV/f.u.) = 5.30
- ΔH_f (0 K) (eV/atom) = 1.074
- SG = P4/mmm

Cell lengths 4.440, 4.440, 3.854 Å; angles 90.00, 90.00, 90.00 degrees
Atoms (fractional coordinates):
1 Nb 0.000 0.000 0.000
2 Ni 0.000 0.500 0.500
3 Ni 0.500 0.000 0.500
4 B 0.500 0.500 0.000
5 Ru 0.500 0.500 0.500

(3)
Here is a geometry-optimized LaNb3Re structure from the Alexandria database. Energies are from PBE.

- final energy (eV per atom) = -8.796
- V (Å³/atom) = 24.6
- D(E_F) (states/eV/f.u.) = 6.87
- ΔH_f (0 K) (eV/atom) = 0.721
- SG = Pm-3m

Cell lengths 4.971, 4.971, 4.971 Å; angles 90.00, 90.00, 90.00 degrees
Atoms (fractional coordinates):
1 La 0.000 0.000 0.000
2 Nb 0.000 0.500 0.500
3 Nb 0.500 0.000 0.500
4 Nb 0.500 0.500 0.000
5 Re 0.500 0.500 0.500

(4)
Here is a geometry-optimized YTiBi3 structure from the Alexandria database. Energies are from PBE.

- final energy (eV per atom) = -5.128
- V (Å³/atom) = 31.9
- D(E_F) (states/eV/f.u.) = 4.54
- ΔH_f (0 K) (eV/atom) = 0.073
- SG = Pm-3m

Cell lengths 5.424, 5.424, 5.424 Å; angles 90.00, 90.00, 90.00 degrees
Atoms (fractional coordinates):
1 Y 0.000 0.000 0.000
2 Ti 0.500 0.500 0.500
3 Bi 0.000 0.500 0.500
4 Bi 0.500 0.000 0.500
5 Bi 0.500 0.500 0.000

(5)
Here is a geometry-optimized Sr2TaCuS5 structure from the Alexandria database. Energies are from PBE.

- final energy (eV per atom) = -5.761
- V (Å³/atom) = 22.0
- D(E_F) (states/eV/f.u.) = 1.51
- raw formation energy (eV/f.u.) = -11.90
- SG = Cmc2_1

Cell lengths 8.893, 8.893, 12.063 Å; angles 90.00, 90.00, 155.45 degrees
Atoms (fractional coordinates):
1 Sr 0.111 0.889 0.500
2 Sr 0.120 0.880 0.134
3 Sr 0.880 0.120 0.634
4 Sr 0.889 0.111 0.000
5 Ta 0.198 0.802 0.831
6 Ta 0.802 0.198 0.331
7 Cu 0.422 0.578 0.254
8 Cu 0.578 0.422 0.754
9 S 0.063 0.937 0.862
10 S 0.288 0.712 0.471
11 S 0.297 0.703 0.189
12 S 0.343 0.657 0.822
13 S 0.496 0.504 0.098
14 S 0.504 0.496 0.598
15 S 0.657 0.343 0.322
16 S 0.703 0.297 0.689
17 S 0.712 0.288 0.971
18 S 0.937 0.063 0.362

(6)
Here is a geometry-optimized Cs2GaN structure from the Alexandria database. Energies are from PBE.

- final energy (eV per atom) = -3.030
- V (Å³/atom) = 42.9
- D(E_F) (states/eV/f.u.) = 2.21
- raw formation energy (eV/f.u.) = 0.94
- SG = I-42d

Cell lengths 9.620, 9.620, 9.620 Å; angles 92.31, 92.31, 156.85 degrees
Atoms (fractional coordinates):
1 Cs 0.375 0.101 0.226
2 Cs 0.851 0.625 0.726
3 Cs 0.875 0.149 0.774
4 Cs 0.899 0.125 0.274
5 Ga 0.250 0.750 0.500
6 Ga 0.500 0.500 0.000
7 N 0.000 0.000 0.000
8 N 0.750 0.250 0.500